# ScSb2TeCl (meta-GGA SCAN, single point on PBEsol structure)
data_ScSb2TeCl
_chemical_formula_sum 'Sc1 Sb2 Te1 Cl1'
_cell_length_a 5.1965
_cell_length_b 5.1965
_cell_length_c 5.1652
_cell_angle_alpha 90.00
_cell_angle_beta 90.00
_cell_angle_gamma 90.00
_symmetry_space_group_name_H-M 'P 4/m m m'
_symmetry_Int_Tables_number 123
_symmetry_space_group_name_Hall '-P 4 2'
loop_
_atom_site_label
_atom_site_type_symbol
_atom_site_fract_x
_atom_site_fract_y
_atom_site_fract_z
Sc1 Sc 0.0000 0.0000 0.0000
Sb1 Sb 0.0000 0.5000 0.5000
Te1 Te 0.5000 0.5000 0.0000
Cl1 Cl 0.5000 0.5000 0.5000
# E_form (uncorrected)	0.473	eV/atom
# mass density	5.38	g/cm³
# calculated total energy	-26.325	eV per atom
# total magnetization	0.00	Bohr magnetons per cell